# 1
Cs2MnBSe4: optimized geometry, GGA-PBE.

Structure (CIF):
```
data_Cs2MnBSe4
_chemical_formula_sum 'Cs16 Mn8 B8 Se32'
_cell_length_a 6.0062
_cell_length_b 14.2964
_cell_length_c 24.9962
_cell_angle_alpha 90.00
_cell_angle_beta 90.00
_cell_angle_gamma 90.00
_symmetry_space_group_name_H-M 'F d d d'
_symmetry_Int_Tables_number 70
loop_
_symmetry_equiv_pos_as_xyz
'x,y,z'
'-x,-y,-z'
'-x+1/4,-y+1/4,z'
'x+1/4,y+1/4,-z'
'x,-y+1/4,-z+1/4'
'-x,y+1/4,z+1/4'
'-x+1/4,y,-z+1/4'
'x+1/4,-y,z+1/4'
'x,y+1/2,z+1/2'
'-x,-y+1/2,-z+1/2'
'-x+1/4,-y+3/4,z+1/2'
'x+1/4,y+3/4,-z+1/2'
'x,-y+3/4,-z+3/4'
'-x,y+3/4,z+3/4'
'-x+1/4,y+1/2,-z+3/4'
'x+1/4,-y+1/2,z+3/4'
'x+1/2,y,z+1/2'
'-x+1/2,-y,-z+1/2'
'-x+3/4,-y+1/4,z+1/2'
'x+3/4,y+1/4,-z+1/2'
'x+1/2,-y+1/4,-z+3/4'
'-x+1/2,y+1/4,z+3/4'
'-x+3/4,y,-z+3/4'
'x+3/4,-y,z+3/4'
'x+1/2,y+1/2,z'
'-x+1/2,-y+1/2,-z'
'-x+3/4,-y+3/4,z'
'x+3/4,y+3/4,-z'
'x+1/2,-y+3/4,-z+1/4'
'-x+1/2,y+3/4,z+1/4'
'-x+3/4,y+1/2,-z+1/4'
'x+3/4,-y+1/2,z+1/4'
loop_
_atom_site_label
_atom_site_type_symbol
_atom_site_fract_x
_atom_site_fract_y
_atom_site_fract_z
Cs1 Cs 0.1250 0.1250 0.3025
Mn1 Mn 0.1250 0.1250 0.1250
B1 B 0.1250 0.1250 0.6250
Se1 Se 0.0848 0.2922 0.8276
```

Summary:
total magnetic moment: 32.00 Bohr magnetons per cell
raw formation energy: -0.70 eV per atom



# 2
CsMnBSe4: optimized geometry, GGA-PBE.

Structure (CIF):
```
data_CsMnBSe4
_chemical_formula_sum 'Cs2 Mn2 B2 Se8'
_cell_length_a 6.2357
_cell_length_b 6.7301
_cell_length_c 8.9707
_cell_angle_alpha 90.00
_cell_angle_beta 96.37
_cell_angle_gamma 90.00
_symmetry_space_group_name_H-M 'P 1 21/m 1'
_symmetry_Int_Tables_number 11
loop_
_symmetry_equiv_pos_as_xyz
'x,y,z'
'-x,-y,-z'
'-x,y+1/2,-z'
'x,-y+1/2,z'
loop_
_atom_site_label
_atom_site_type_symbol
_atom_site_fract_x
_atom_site_fract_y
_atom_site_fract_z
Cs1 Cs 0.2289 0.2500 0.0641
Mn1 Mn 0.1716 0.7500 0.4499
B1 B 0.3445 0.2500 0.6436
Se1 Se 0.1288 0.0170 0.6676
Se2 Se 0.3705 0.7500 0.2172
Se3 Se 0.4563 0.2500 0.4404
```

Summary:
total magnetic moment: 6.28 Bohr magnetons per cell
raw formation energy: -0.46 eV per atom



# 3
Cs2YMnB: optimized geometry, GGA-PBE.

Structure (CIF):
```
data_Cs2YMnB
_chemical_formula_sum 'Cs2 Y1 Mn1 B1'
_cell_length_a 7.3596
_cell_length_b 7.3596
_cell_length_c 4.9609
_cell_angle_alpha 90.00
_cell_angle_beta 90.00
_cell_angle_gamma 90.00
_symmetry_space_group_name_H-M 'P 4/m m m'
_symmetry_Int_Tables_number 123
_symmetry_space_group_name_Hall '-P 4 2'
loop_
_atom_site_label
_atom_site_type_symbol
_atom_site_fract_x
_atom_site_fract_y
_atom_site_fract_z
Cs1 Cs 0.0000 0.5000 0.0000
Y1 Y 0.0000 0.0000 0.0000
Mn1 Mn 0.0000 0.0000 0.5000
B1 B 0.5000 0.5000 0.5000
```

Summary:
formation enthalpy at 0 K: 1.89 eV per atom
total magnetic moment: 4.02 Bohr magnetons per cell



# 4
CsB2Mo: optimized geometry, GGA-PBE.

Structure (CIF):
```
data_CsB2Mo
_chemical_formula_sum 'Cs4 B8 Mo4'
_cell_length_a 6.7361
_cell_length_b 6.7361
_cell_length_c 9.5112
_cell_angle_alpha 90.00
_cell_angle_beta 90.00
_cell_angle_gamma 90.00
_symmetry_space_group_name_H-M 'I -4 2 d'
_symmetry_Int_Tables_number 122
_symmetry_space_group_name_Hall 'I -4 2bw'
loop_
_atom_site_label
_atom_site_type_symbol
_atom_site_fract_x
_atom_site_fract_y
_atom_site_fract_z
Cs1 Cs 0.0000 0.0000 0.0000
B1 B 0.0020 0.7500 0.6250
Mo1 Mo 0.0000 0.0000 0.5000
```

Summary:
formation enthalpy at 0 K: 0.92 eV per atom
total magnetic moment: 0.00 Bohr magnetons per cell



# 5
Cs2BMo: optimized geometry, GGA-PBE.

Structure (CIF):
```
data_Cs2BMo
_chemical_formula_sum 'Cs8 B4 Mo4'
_cell_length_a 7.9330
_cell_length_b 7.9330
_cell_length_c 7.9330
_cell_angle_alpha 90.00
_cell_angle_beta 90.00
_cell_angle_gamma 90.00
_symmetry_space_group_name_H-M 'F m -3 m'
_symmetry_Int_Tables_number 225
_symmetry_space_group_name_Hall '-F 4 2 3'
loop_
_atom_site_label
_atom_site_type_symbol
_atom_site_fract_x
_atom_site_fract_y
_atom_site_fract_z
Cs1 Cs 0.2500 0.2500 0.2500
B1 B 0.0000 0.0000 0.0000
Mo1 Mo 0.0000 0.0000 0.5000
```

Summary:
formation enthalpy at 0 K: 2.23 eV per atom
total magnetic moment: 12.40 Bohr magnetons per cell



# 6
Cs3BMo: optimized geometry, GGA-PBE.

Structure (CIF):
```
data_Cs3BMo
_chemical_formula_sum 'Cs3 B1 Mo1'
_cell_length_a 6.6135
_cell_length_b 6.6135
_cell_length_c 6.6135
_cell_angle_alpha 90.00
_cell_angle_beta 90.00
_cell_angle_gamma 90.00
_symmetry_space_group_name_H-M 'P m -3 m'
_symmetry_Int_Tables_number 221
_symmetry_space_group_name_Hall '-P 4 2 3'
loop_
_atom_site_label
_atom_site_type_symbol
_atom_site_fract_x
_atom_site_fract_y
_atom_site_fract_z
Cs1 Cs 0.0000 0.0000 0.5000
B1 B 0.5000 0.5000 0.5000
Mo1 Mo 0.0000 0.0000 0.0000
```

Summary:
formation enthalpy at 0 K: 2.06 eV per atom
total magnetic moment: 2.00 Bohr magnetons per cell